Record 1
12
Lattice="7.151 0.000 0.000 0.000 7.151 0.000 0.000 0.000 7.151" Properties=species:S:1:pos:R:3 comment="LuScU, relaxed, DFT PBE" final_energy_ev_per_cell=-74.42 formation_energy_mev_per_atom=1181 pbc="T T T"
Lu 0.000 0.000 0.000
Lu 0.000 3.576 3.576
Lu 3.576 0.000 3.576
Lu 3.576 3.576 0.000
Sc 1.788 1.788 1.788
Sc 1.788 5.364 5.364
Sc 5.364 1.788 5.364
Sc 5.364 5.364 1.788
U 0.000 0.000 3.576
U 0.000 3.576 0.000
U 3.576 0.000 0.000
U 3.576 3.576 3.576

***

Record 2
8
Lattice="3.610 0.000 0.000 0.000 3.610 0.000 0.000 0.000 7.541" Properties=species:S:1:pos:R:3 comment="GdDyNi2B2C2, relaxed, DFT PBE" final_energy_ev_per_cell=-56.26 pbc="T T T"
Gd 0.000 0.000 0.000
Dy 1.805 1.805 5.017
Ni 0.000 1.805 2.509
Ni 1.805 0.000 2.509
B 0.000 0.000 3.592
B 1.805 1.805 1.410
C 0.000 0.000 5.087
C 1.805 1.805 7.454

***

Record 3
6
Lattice="0.000 5.112 5.112 5.112 0.000 5.112 5.112 5.112 0.000" Properties=species:S:1:pos:R:3 comment="FeMo2, relaxed, DFT PBE" final_energy_ev_per_cell=-40.29 formation_energy_mev_per_atom=3286 pbc="T T T"
Fe 1.278 1.278 1.278
Fe 8.946 8.946 8.946
Mo 0.000 0.000 0.000
Mo 2.556 2.556 0.000
Mo 2.556 0.000 2.556
Mo 0.000 2.556 2.556

***

Record 4
8
Lattice="3.481 0.000 0.000 -1.741 3.015 0.000 0.000 0.000 12.917" Properties=species:S:1:pos:R:3 comment="Rb2TbDyO4, relaxed, DFT PBE" final_energy_ev_per_cell=-52.47 pbc="T T T"
Rb 0.000 2.010 3.227
Rb 1.741 1.005 9.690
Tb 0.000 0.000 6.458
Dy 0.000 0.000 0.000
O 0.000 2.010 7.626
O 0.000 2.010 11.762
O 1.741 1.005 1.155
O 1.741 1.005 5.291

***

Record 5
16
Lattice="7.147 0.000 0.000 0.000 10.078 0.000 0.000 0.000 5.009" Properties=species:S:1:pos:R:3 comment="GdTmGa2, relaxed, DFT PBE" final_energy_ev_per_cell=-69.87 pbc="T T T"
Gd 0.000 1.300 1.252
Gd 0.000 8.779 3.757
Gd 3.573 3.740 3.757
Gd 3.573 6.339 1.252
Tm 0.000 3.785 3.757
Tm 0.000 6.294 1.252
Tm 3.573 1.255 1.252
Tm 3.573 8.824 3.757
Ga 1.772 3.806 1.252
Ga 1.772 6.272 3.757
Ga 1.801 1.233 3.757
Ga 1.801 8.846 1.252
Ga 5.346 1.233 3.757
Ga 5.346 8.846 1.252
Ga 5.374 3.806 1.252
Ga 5.374 6.272 3.757

***

Record 6
6
Lattice="4.006 0.000 0.000 -2.003 3.469 0.000 0.000 0.000 11.679" Properties=species:S:1:pos:R:3 comment="LuSn2Se3, relaxed, DFT PBE" final_energy_ev_per_cell=-28.19 pbc="T T T"
Lu 0.000 0.000 0.000
Sn 0.000 2.313 7.745
Sn 2.003 1.156 3.935
Se 0.000 0.000 5.840
Se 0.000 2.313 1.590
Se 2.003 1.156 10.090

***

Record 7
16
Lattice="8.125 0.000 0.000 0.000 11.490 0.000 0.000 0.000 4.064" Properties=species:S:1:pos:R:3 comment="ErTm3As4, relaxed, DFT PBE" final_energy_ev_per_cell=-97.30 pbc="T T T"
Er 0.000 0.000 0.000
Er 4.062 5.745 0.000
Tm 0.000 5.745 0.000
Tm 2.031 2.873 2.032
Tm 2.031 8.618 2.032
Tm 4.062 0.000 0.000
Tm 6.094 2.873 2.032
Tm 6.094 8.618 2.032
As 0.000 2.877 0.000
As 0.000 8.613 0.000
As 2.024 5.745 2.032
As 2.038 0.000 2.032
As 4.062 2.868 0.000
As 4.062 8.622 0.000
As 6.087 0.000 2.032
As 6.101 5.745 2.032

***

Record 8
12
Lattice="6.844 0.000 0.000 0.000 6.844 0.000 0.000 0.000 6.844" Properties=species:S:1:pos:R:3 comment="PuNbTl, relaxed, DFT PBE" final_energy_ev_per_cell=-92.56 pbc="T T T"
Pu 0.000 0.000 0.000
Pu 0.000 3.422 3.422
Pu 3.422 0.000 3.422
Pu 3.422 3.422 0.000
Nb 1.711 1.711 1.711
Nb 1.711 5.133 5.133
Nb 5.133 1.711 5.133
Nb 5.133 5.133 1.711
Tl 1.711 1.711 5.133
Tl 1.711 5.133 1.711
Tl 5.133 1.711 1.711
Tl 5.133 5.133 5.133